[1]
# HfMg3O

A crystal of HfMg3O relaxed with PBEsol (meta-GGA SCAN, the Alexandria database).

POSCAR file:
```
HfMg3O
1.0
4.410 0.000 0.000
0.000 4.410 0.000
0.000 0.000 4.410
Hf Mg O
1 3 1
Cartesian
0.000 0.000 0.000 Hf
0.000 2.205 2.205 Mg
2.205 0.000 2.205 Mg
2.205 2.205 0.000 Mg
2.205 2.205 2.205 O
```

The magnetic moment comes out at 1.35 μB per cell. For the electronic total energy, the calculation gives -86.3 eV for the cell shown. The calculation puts the formation energy (no corrections) at -0.492 eV/atom. As for the space group: No. 221.

---

[2]
# HfMg3Os

A crystal of HfMg3Os relaxed with PBEsol (meta-GGA SCAN, the Alexandria database).

POSCAR file:
```
HfMg3Os
1.0
4.827 0.000 0.000
0.000 4.827 0.000
0.000 0.000 4.827
Hf Mg Os
1 3 1
Cartesian
0.000 0.000 0.000 Hf
0.000 2.413 2.413 Mg
2.413 0.000 2.413 Mg
2.413 2.413 0.000 Mg
2.413 2.413 2.413 Os
```

The magnetic moment comes out at 0.00 μB per cell. For the electronic total energy, the calculation gives -145.3 eV for the cell shown. As for the space group: No. 221. The value obtained for the formation enthalpy at 0 K is 0.840 eV per atom.

---

[3]
# HfMg2OsPd

A crystal of HfMg2OsPd relaxed with PBEsol (meta-GGA SCAN, the Alexandria database).

POSCAR file:
```
HfMg2OsPd
1.0
4.481 0.000 0.000
0.000 4.481 0.000
0.000 0.000 5.005
Hf Mg Os Pd
1 2 1 1
Cartesian
0.000 0.000 0.000 Hf
0.000 2.241 2.502 Mg
2.241 0.000 2.502 Mg
2.241 2.241 0.000 Os
2.241 2.241 2.502 Pd
```

The magnetic moment comes out at 0.00 μB per cell. For the electronic total energy, the calculation gives -173.9 eV for the cell shown. As for the space group: No. 123. The value obtained for the formation enthalpy at 0 K is 0.675 eV per atom.

---

[4]
# HfMgP3

A crystal of HfMgP3 relaxed with PBEsol (meta-GGA SCAN, the Alexandria database).

POSCAR file:
```
HfMgP3
1.0
4.898 0.000 0.000
0.000 4.898 0.000
0.000 0.000 4.898
Hf Mg P
1 1 3
Cartesian
0.000 0.000 0.000 Hf
2.449 2.449 2.449 Mg
0.000 0.000 2.449 P
0.000 2.449 0.000 P
2.449 0.000 0.000 P
```

The magnetic moment comes out at 0.00 μB per cell. For the electronic total energy, the calculation gives -98.0 eV for the cell shown. As for the space group: No. 221. The value obtained for the formation enthalpy at 0 K is 0.167 eV per atom.